LuMgCoSn PBE relaxed; total magnetic moment = 0.00 μB/f.u.; space group = F-43m; energy above the lowest structure with this stoichiometry = 135 meV per atom; DFT total energy = -17.4 eV per cell
1.0
0.0000 3.3546 3.3546
3.3546 0.0000 3.3546
3.3546 3.3546 0.0000
Lu Mg Co Sn
1 1 1 1
Direct
0.0000 0.0000 0.0000 Lu
0.7500 0.7500 0.7500 Mg
0.5000 0.5000 0.5000 Co
0.2500 0.2500 0.2500 Sn


UCdCo PBE relaxed; total magnetic moment = 2.28 μB/f.u.; space group = F-43m; formation energy from the elements = 0.424 eV per atom; DFT total energy = -18.0 eV per cell
1.0
0.0000 3.1587 3.1587
3.1587 0.0000 3.1587
3.1587 3.1587 0.0000
U Cd Co
1 1 1
Direct
0.0000 0.0000 0.0000 U
0.5000 0.5000 0.5000 Cd
0.7500 0.7500 0.7500 Co


BeCdTc PBE relaxed; total magnetic moment = 1.80 μB/f.u.; space group = F-43m; energy above the lowest structure with this stoichiometry = 0 meV per atom; DFT total energy = -11.8 eV per cell
1.0
0.0000 3.0119 3.0119
3.0119 0.0000 3.0119
3.0119 3.0119 0.0000
Be Cd Tc
1 1 1
Direct
0.0000 0.0000 0.0000 Be
0.5000 0.5000 0.5000 Cd
0.2500 0.2500 0.2500 Tc


TaTlCdFe PBE relaxed; total magnetic moment = 1.04 μB/f.u.; space group = F-43m; energy above the lowest structure with this stoichiometry = 0 meV per atom; DFT total energy = -20.7 eV per cell
1.0
0.0000 3.3014 3.3014
3.3014 0.0000 3.3014
3.3014 3.3014 0.0000
Ta Tl Cd Fe
1 1 1 1
Direct
0.0000 0.0000 0.0000 Ta
0.5000 0.5000 0.5000 Tl
0.2500 0.2500 0.2500 Cd
0.7500 0.7500 0.7500 Fe


KRbAu2Se2 PBE relaxed; space group = Amm2; DFT total energy = -20.1 eV per cell
1.0
7.1196 0.0000 0.0000
0.0000 3.3802 4.1908
0.0000 -3.3802 4.1908
K Rb Au Se
1 1 2 2
Direct
0.0000 0.0000 0.0000 K
0.5000 0.7319 0.7319 Rb
0.2493 0.3615 0.3615 Au
0.7507 0.3615 0.3615 Au
0.0000 0.5649 0.5649 Se
0.5000 0.1592 0.1592 Se


MgCoB PBE relaxed; total magnetic moment = 0.01 μB/f.u.; space group = F-43m; energy above the lowest structure with this stoichiometry = 0 meV per atom; DFT total energy = -14.6 eV per cell
1.0
0.0000 2.5998 2.5998
2.5998 0.0000 2.5998
2.5998 2.5998 0.0000
Mg Co B
1 1 1
Direct
0.0000 0.0000 0.0000 Mg
0.5000 0.5000 0.5000 Co
0.7500 0.7500 0.7500 B